A plane-wave DFT calculation with PBE+U was carried out for LiFeF4 after structural relaxation.

Properties
The total energy comes out at -5.08 eV per atom. Its space-group type is No. 62.

Cell: 8.7589 9.2702 8.0659 Å, 90.00 90.00 90.00°
Closest atoms and distances in Å follow each position.
Fractional coordinates of all 48 atoms:
Li 0.1978 0.0756 0.1482  4 F 1.88-2.03
Li 0.1978 0.4244 0.1482  4 F 1.88-2.03
Li 0.3022 0.5756 0.6482  4 F 1.88-2.03
Li 0.3022 0.9244 0.6482  4 F 1.88-2.03
Li 0.6978 0.0756 0.3518  4 F 1.88-2.03
Li 0.6978 0.4244 0.3518  4 F 1.88-2.03
Li 0.8022 0.5756 0.8518  4 F 1.88-2.03
Li 0.8022 0.9244 0.8518  4 F 1.88-2.03
Fe 0.0589 0.7500 0.3704  5 F 1.84-2.03
Fe 0.1336 0.7500 0.9811  5 F 1.86-2.05
Fe 0.3664 0.2500 0.4811  5 F 1.86-2.05
Fe 0.4411 0.2500 0.8704  5 F 1.84-2.03
Fe 0.5589 0.7500 0.1296  5 F 1.84-2.03
Fe 0.6336 0.7500 0.5189  5 F 1.86-2.05
Fe 0.8664 0.2500 0.0189  5 F 1.86-2.05
Fe 0.9411 0.2500 0.6296  5 F 1.84-2.03
F 0.0762 0.2500 0.0940  1 Fe 1.93, 2 Li 1.98
F 0.0846 0.6144 0.1743  1 Li 2.03, 2 Fe 2.03-2.05
F 0.0846 0.8856 0.1743  1 Li 2.03, 2 Fe 2.03-2.05
F 0.1313 0.6058 0.5063  1 Fe 1.84, 1 Li 1.91
F 0.1313 0.8942 0.5063  1 Fe 1.84, 1 Li 1.91
F 0.1557 0.2500 0.6074  2 Fe 1.89-2.11
F 0.1973 0.5965 0.8504  1 Fe 1.86, 1 Li 1.88
F 0.1973 0.9035 0.8504  1 Fe 1.86, 1 Li 1.88
F 0.3027 0.0965 0.3504  1 Fe 1.86, 1 Li 1.88
F 0.3027 0.4035 0.3504  1 Fe 1.86, 1 Li 1.88
F 0.3443 0.7500 0.1074  2 Fe 1.89-2.11
F 0.3687 0.1058 0.0063  1 Fe 1.84, 1 Li 1.91
F 0.3687 0.3942 0.0063  1 Fe 1.84, 1 Li 1.91
F 0.4154 0.1144 0.6743  1 Li 2.03, 2 Fe 2.03-2.05
F 0.4154 0.3856 0.6743  1 Li 2.03, 2 Fe 2.03-2.05
F 0.4238 0.7500 0.5940  1 Fe 1.93, 2 Li 1.98
F 0.5762 0.2500 0.4060  1 Fe 1.93, 2 Li 1.98
F 0.5846 0.6144 0.3257  1 Li 2.03, 2 Fe 2.03-2.05
F 0.5846 0.8856 0.3257  1 Li 2.03, 2 Fe 2.03-2.05
F 0.6313 0.6058 0.9937  1 Fe 1.84, 1 Li 1.91
F 0.6313 0.8942 0.9937  1 Fe 1.84, 1 Li 1.91
F 0.6557 0.2500 0.8926  2 Fe 1.89-2.11
F 0.6973 0.5965 0.6496  1 Fe 1.86, 1 Li 1.88
F 0.6973 0.9035 0.6496  1 Fe 1.86, 1 Li 1.88
F 0.8027 0.0965 0.1496  1 Fe 1.86, 1 Li 1.88
F 0.8027 0.4035 0.1496  1 Fe 1.86, 1 Li 1.88
F 0.8443 0.7500 0.3926  2 Fe 1.89-2.11
F 0.8687 0.1058 0.4937  1 Fe 1.84, 1 Li 1.91
F 0.8687 0.3942 0.4937  1 Fe 1.84, 1 Li 1.91
F 0.9154 0.1144 0.8257  1 Li 2.03, 2 Fe 2.03-2.05
F 0.9154 0.3856 0.8257  1 Li 2.03, 2 Fe 2.03-2.05
F 0.9238 0.7500 0.9060  1 Fe 1.93, 2 Li 1.98